The following is a DFT calculation (PBE) of a relaxed ZrPaMn2 crystal.

CIF file:
```
data_ZrPaMn2
_chemical_formula_sum 'Zr1 Pa1 Mn2'
_cell_length_a 4.6222
_cell_length_b 4.6222
_cell_length_c 3.2358
_cell_angle_alpha 90.00
_cell_angle_beta 90.00
_cell_angle_gamma 90.00
_symmetry_space_group_name_H-M 'P 4/m m m'
_symmetry_Int_Tables_number 123
_symmetry_space_group_name_Hall '-P 4 2'
loop_
_atom_site_label
_atom_site_type_symbol
_atom_site_fract_x
_atom_site_fract_y
_atom_site_fract_z
Zr1 Zr 0.0000 0.0000 0.0000
Pa1 Pa 0.5000 0.5000 0.0000
Mn1 Mn 0.0000 0.5000 0.5000
```

Output
E above lowest polymorph: 0 meV per atom
density of states at the Fermi level: 5.46 states/eV per cell
magnetic moment: 0.00 μB per formula unit

=====

The following is a DFT calculation (PBE) of a relaxed Pu2TiP3 crystal.

CIF file:
```
data_Pu2TiP3
_chemical_formula_sum 'Pu4 Ti2 P6'
_cell_length_a 3.8179
_cell_length_b 5.4567
_cell_length_c 11.5011
_cell_angle_alpha 90.00
_cell_angle_beta 90.00
_cell_angle_gamma 90.00
_symmetry_space_group_name_H-M 'I m m m'
_symmetry_Int_Tables_number 71
_symmetry_space_group_name_Hall '-I 2 2'
loop_
_atom_site_label
_atom_site_type_symbol
_atom_site_fract_x
_atom_site_fract_y
_atom_site_fract_z
Pu1 Pu 0.0000 0.0000 0.1705
Ti1 Ti 0.0000 0.0000 0.5000
P1 P 0.0000 0.5000 0.1499
P2 P 0.0000 0.5000 0.5000
```

Output
density of states at the Fermi level: 36.64 states/eV per cell
DFT total energy: -9.889 eV per atom
magnetic moment: 10.31 μB per formula unit

=====

The following is a DFT calculation (PBE) of a relaxed Y2HRh4 crystal.

CIF file:
```
data_Y2HRh4
_chemical_formula_sum 'Y4 H2 Rh8'
_cell_length_a 4.1067
_cell_length_b 4.1067
_cell_length_c 13.7351
_cell_angle_alpha 90.00
_cell_angle_beta 90.00
_cell_angle_gamma 90.00
_symmetry_space_group_name_H-M 'I 4/m m m'
_symmetry_Int_Tables_number 139
_symmetry_space_group_name_Hall '-I 4 2'
loop_
_atom_site_label
_atom_site_type_symbol
_atom_site_fract_x
_atom_site_fract_y
_atom_site_fract_z
Y1 Y 0.0000 0.0000 0.1539
H1 H 0.0000 0.0000 0.5000
Rh1 Rh 0.0000 0.0000 0.3612
Rh2 Rh 0.0000 0.5000 0.0000
```

Output
density of states at the Fermi level: 13.83 states/eV per cell
DFT total energy: -6.976 eV per atom
magnetic moment: 0.00 μB per formula unit